# Ac12PmPr5

A relaxed Ac12PmPr5 crystal (PBE, the Alexandria database).

The structure in extended XYZ format:
```
18
Lattice="10.106 -5.871 0.000 10.106 5.871 0.000 -2.172 0.000 6.376" Properties=species:S:1:pos:R:3 pbc="T T T"
Ac 2.272 1.925 3.187
Ac 10.106 3.949 0.000
Ac 4.565 1.929 6.373
Ac 2.272 -1.925 3.187
Ac 9.014 1.934 3.188
Ac 4.565 -1.929 6.373
Ac 13.474 1.928 0.002
Ac 9.014 -1.934 3.188
Ac 15.757 1.926 3.189
Ac 13.474 -1.928 0.002
Ac 10.106 -3.949 0.000
Ac 15.757 -1.926 3.189
Pm 19.120 0.000 3.187
Pr 1.194 0.000 6.370
Pr 5.646 0.000 3.185
Pr 10.106 0.000 0.001
Pr 12.383 0.000 3.188
Pr 16.846 0.000 0.007
```

Computed properties:
Energy of formation, eV/f.u.: 0.56

=====

# AcPm7Pr3

A relaxed AcPm7Pr3 crystal (PBE, the Alexandria database).

The structure in extended XYZ format:
```
11
Lattice="5.994 -5.115 0.000 5.994 5.115 0.000 -0.596 0.000 6.637" Properties=species:S:1:pos:R:3 pbc="T T T"
Ac 0.000 0.000 0.000
Pm -0.298 0.000 3.318
Pm 2.527 1.788 5.042
Pm 3.004 0.000 1.972
Pm 2.527 -1.788 5.042
Pm 8.865 1.788 1.595
Pm 8.388 0.000 4.665
Pm 8.865 -1.788 1.595
Pr 5.696 1.787 3.318
Pr 5.994 0.000 0.000
Pr 5.696 -1.787 3.318
```

Computed properties:
E above lowest polymorph, eV per atom: 0.020
Energy of formation, eV/f.u.: 2.19

=====

# Ac6PmPr4

A relaxed Ac6PmPr4 crystal (PBE, the Alexandria database).

The structure in extended XYZ format:
```
11
Lattice="-4.339 4.339 6.474 4.339 -4.339 6.474 4.339 4.339 -6.474" Properties=species:S:1:pos:R:3 pbc="T T T"
Ac 4.339 0.000 0.000
Ac 2.764 2.764 -3.587
Ac 1.576 1.576 2.887
Ac 0.000 4.339 0.000
Ac 1.576 -1.576 10.060
Ac -1.576 1.576 10.060
Pm 0.000 0.000 6.474
Pr 1.427 1.427 -0.844
Pr 2.913 -2.913 7.317
Pr 2.913 2.913 5.630
Pr -2.913 2.913 7.317
```

Computed properties:
E above lowest polymorph, eV per atom: 0.047
Energy of formation, eV/f.u.: 3.83

=====

# Ac4PmPr5

A relaxed Ac4PmPr5 crystal (PBE, the Alexandria database).

The structure in extended XYZ format:
```
10
Lattice="3.863 0.000 0.000 0.000 3.863 0.000 0.000 0.000 26.441" Properties=species:S:1:pos:R:3 pbc="T T T"
Ac 0.000 0.000 2.679
Ac 0.000 0.000 8.053
Ac 0.000 0.000 18.389
Ac 0.000 0.000 23.762
Pm 0.000 0.000 13.221
Pr 1.931 1.931 0.000
Pr 1.931 1.931 5.361
Pr 1.931 1.931 10.751
Pr 1.931 1.931 15.690
Pr 1.931 1.931 21.080
```

Computed properties:
E above lowest polymorph, eV per atom: 0.000
Energy of formation, eV/f.u.: 0.29

=====

# AcPm5Pr

A relaxed AcPm5Pr crystal (PBE, the Alexandria database).

The structure in extended XYZ format:
```
14
Lattice="4.502 -5.088 0.000 4.502 5.088 0.000 -3.921 0.000 11.173" Properties=species:S:1:pos:R:3 pbc="T T T"
Ac 2.251 2.544 0.000
Ac 0.291 -2.544 5.586
Pm -0.557 1.045 5.981
Pm 3.522 4.268 2.793
Pm 1.404 -1.045 0.394
Pm 2.077 0.740 3.727
Pm 0.116 -0.740 9.314
Pm 4.967 0.740 1.859
Pm 3.007 -0.740 7.446
Pm 3.680 1.045 10.779
Pm 1.562 -4.268 8.380
Pm 5.641 -1.045 5.192
Pr 1.562 2.439 8.380
Pr 3.522 -2.439 2.793
```

Computed properties:
Energy of formation, eV/f.u.: 0.60

=====

# Ac3PmPr7

A relaxed Ac3PmPr7 crystal (PBE, the Alexandria database).

The structure in extended XYZ format:
```
11
Lattice="7.491 0.000 0.000 -3.746 6.488 0.000 0.000 0.000 9.166" Properties=species:S:1:pos:R:3 pbc="T T T"
Ac -1.871 3.245 0.000
Ac 0.000 6.486 0.000
Ac 1.871 3.245 0.000
Pm 0.000 4.325 3.138
Pr 0.000 2.171 6.047
Pr -1.865 5.402 6.047
Pr 1.877 1.084 3.105
Pr 1.865 5.402 6.047
Pr 3.746 2.163 6.025
Pr 5.614 1.084 3.105
Pr 3.746 4.320 3.105
```

Computed properties:
Energy of formation, eV/f.u.: 1.79

=====

# Ac3PmPr12

A relaxed Ac3PmPr12 crystal (PBE, the Alexandria database).

The structure in extended XYZ format:
```
16
Lattice="5.319 0.000 0.000 0.000 5.319 0.000 0.000 0.000 21.233" Properties=species:S:1:pos:R:3 pbc="T T T"
Ac 0.000 0.000 0.000
Ac 0.000 0.000 5.351
Ac 0.000 0.000 15.882
Pm 0.000 0.000 10.616
Pr 0.000 2.659 2.676
Pr 0.000 2.659 8.048
Pr 0.000 2.659 13.185
Pr 0.000 2.659 18.557
Pr 2.659 0.000 2.676
Pr 2.659 0.000 8.048
Pr 2.659 0.000 13.185
Pr 2.659 0.000 18.557
Pr 2.659 2.659 0.000
Pr 2.659 2.659 5.371
Pr 2.659 2.659 10.616
Pr 2.659 2.659 15.861
```

Computed properties:
Energy of formation, eV/f.u.: 0.26

=====

# Ac5Pm2Pr5

A relaxed Ac5Pm2Pr5 crystal (PBE, the Alexandria database).

The structure in extended XYZ format:
```
12
Lattice="9.108 -3.008 0.000 9.108 3.008 0.000 -6.005 0.000 8.592" Properties=species:S:1:pos:R:3 pbc="T T T"
Ac 0.000 0.000 0.000
Ac -0.532 0.000 3.949
Ac 3.109 0.000 2.112
Ac 9.103 0.000 6.480
Ac 12.744 0.000 4.643
Pm -2.504 0.000 6.853
Pm 14.715 0.000 1.739
Pr 6.576 0.000 0.398
Pr 2.567 0.000 6.157
Pr 6.106 0.000 4.296
Pr 9.644 0.000 2.435
Pr 5.635 0.000 8.194
```

Computed properties:
Energy of formation, eV/f.u.: 0.68

=====

# Ac3Pm3Pr2

A relaxed Ac3Pm3Pr2 crystal (PBE, the Alexandria database).

The structure in extended XYZ format:
```
8
Lattice="-2.646 2.703 10.782 2.646 -2.703 10.782 2.646 2.703 -10.782" Properties=species:S:1:pos:R:3 pbc="T T T"
Ac 0.000 0.000 0.000
Ac 2.646 0.000 8.071
Ac 0.000 2.703 2.712
Pm 2.646 0.000 2.760
Pm 0.000 0.000 10.782
Pm 0.000 2.703 8.022
Pr 0.000 0.000 5.365
Pr 0.000 0.000 16.200
```

Computed properties:
E above lowest polymorph, eV per atom: 0.000
Energy of formation, eV/f.u.: 0.25

=====

# Ac8Pm5Pr

A relaxed Ac8Pm5Pr crystal (PBE, the Alexandria database).

The structure in extended XYZ format:
```
14
Lattice="9.019 0.000 0.000 -0.511 9.028 0.000 -4.211 -4.438 7.161" Properties=species:S:1:pos:R:3 pbc="T T T"
Ac 0.000 0.000 0.000
Ac -2.550 3.631 3.851
Ac 0.158 5.762 2.009
Ac 1.025 0.280 3.821
Ac 3.617 -0.382 0.819
Ac 3.001 3.138 1.994
Ac 3.526 6.487 3.903
Ac 2.057 -1.732 7.120
Pm -1.311 -2.261 5.299
Pm -1.482 1.111 6.210
Pm 1.192 3.936 5.189
Pm 5.716 6.186 0.899
Pm 4.075 1.183 5.378
Pr 6.497 0.092 2.942
```

Computed properties:
Energy of formation, eV/f.u.: 1.85

=====

# Ac8Pm3Pr3

A relaxed Ac8Pm3Pr3 crystal (PBE, the Alexandria database).

The structure in extended XYZ format:
```
14
Lattice="6.923 -6.872 0.000 6.923 6.872 0.000 -1.816 0.000 6.183" Properties=species:S:1:pos:R:3 pbc="T T T"
Ac 3.399 3.557 5.901
Ac 4.016 1.800 2.757
Ac 8.630 3.557 0.282
Ac 4.016 -1.800 2.757
Ac 8.013 1.800 3.426
Ac 3.399 -3.557 5.901
Ac 8.013 -1.800 3.426
Ac 8.630 -3.557 0.282
Pm 0.000 0.000 0.000
Pm 6.014 5.043 3.091
Pm 6.014 -5.043 3.091
Pr 1.638 0.000 5.286
Pr 6.923 0.000 0.000
Pr 10.391 0.000 0.896
```

Computed properties:
Energy of formation, eV/f.u.: 2.78

=====

# Ac4Pm3Pr4

A relaxed Ac4Pm3Pr4 crystal (PBE, the Alexandria database).

The structure in extended XYZ format:
```
11
Lattice="-1.862 5.960 9.863 1.862 -5.960 9.863 1.862 5.960 -9.863" Properties=species:S:1:pos:R:3 pbc="T T T"
Ac 0.000 0.000 3.937
Ac 1.862 3.241 0.000
Ac 0.000 2.719 9.863
Ac 0.000 0.000 15.790
Pm 0.000 0.000 0.000
Pm 1.862 0.000 7.838
Pm 0.000 5.960 2.025
Pr 1.862 3.190 -3.458
Pr 1.862 3.190 3.458
Pr 0.000 2.770 6.405
Pr 0.000 2.770 13.321
```

Computed properties:
Energy of formation, eV/f.u.: 2.03

=====

# AcPm5Pr5

A relaxed AcPm5Pr5 crystal (PBE, the Alexandria database).

The structure in extended XYZ format:
```
11
Lattice="6.347 0.000 0.000 -3.173 5.496 0.000 0.000 0.000 11.772" Properties=species:S:1:pos:R:3 pbc="T T T"
Ac 0.000 0.000 0.000
Pm -1.564 2.761 5.886
Pm 1.564 2.761 5.886
Pm 0.000 5.470 5.886
Pm 3.173 1.832 3.135
Pm 3.173 1.832 8.637
Pr 0.000 0.000 3.920
Pr 0.000 0.000 7.853
Pr 0.000 3.664 1.916
Pr 0.000 3.664 9.856
Pr 3.173 1.832 0.000
```

Computed properties:
Energy of formation, eV/f.u.: 2.75

=====

# AcPm2Pr12

A relaxed AcPm2Pr12 crystal (PBE, the Alexandria database).

The structure in extended XYZ format:
```
30
Lattice="3.655 -5.933 0.000 3.655 5.933 0.000 0.000 0.000 25.650" Properties=species:S:1:pos:R:3 pbc="T T T"
Ac 3.655 2.966 25.391
Ac 3.655 -2.966 0.259
Pm 3.655 2.966 6.954
Pm 3.655 2.966 18.539
Pm 3.655 -2.966 7.111
Pm 3.655 -2.966 18.696
Pr 1.888 2.966 22.132
Pr 3.655 5.730 2.034
Pr 1.984 2.966 10.743
Pr 3.655 5.632 14.342
Pr 1.828 0.000 5.197
Pr 1.828 0.000 8.417
Pr 1.828 0.000 17.234
Pr 1.828 0.000 20.453
Pr 3.655 0.301 14.342
Pr 5.326 2.966 10.743
Pr 3.655 0.203 2.034
Pr 5.422 2.966 22.132
Pr 1.888 -2.966 3.518
Pr 3.655 -0.203 23.616
Pr 1.984 -2.966 14.907
Pr 3.655 -0.301 11.308
Pr 5.483 0.000 5.197
Pr 5.483 0.000 8.417
Pr 5.483 0.000 17.234
Pr 5.483 0.000 20.453
Pr 3.655 -5.632 11.308
Pr 5.326 -2.966 14.907
Pr 3.655 -5.730 23.616
Pr 5.422 -2.966 3.518
```

Computed properties:
Energy of formation, eV/f.u.: 2.23

=====

# Ac4Pm3Pr8

A relaxed Ac4Pm3Pr8 crystal (PBE, the Alexandria database).

The structure in extended XYZ format:
```
15
Lattice="7.002 -6.739 0.000 7.002 6.739 0.000 -3.715 0.000 6.267" Properties=species:S:1:pos:R:3 pbc="T T T"
Ac 0.000 0.000 0.000
Ac -1.857 0.000 3.134
Ac 3.501 3.370 0.000
Ac 3.501 -3.370 0.000
Pm 1.644 3.370 3.134
Pm 1.644 -3.370 3.134
Pm 5.145 0.000 3.134
Pr 5.145 3.175 3.134
Pr 1.856 0.000 3.357
Pr 3.868 0.000 0.062
Pr 7.002 1.929 0.000
Pr 7.002 -1.929 0.000
Pr 6.421 0.000 6.205
Pr 8.433 0.000 2.910
Pr 5.145 -3.175 3.134
```

Computed properties:
Energy of formation, eV/f.u.: 4.77

=====

# Ac2PmPr5

A relaxed Ac2PmPr5 crystal (PBE, the Alexandria database).

The structure in extended XYZ format:
```
8
Lattice="-2.679 2.679 10.588 2.679 -2.679 10.588 2.679 2.679 -10.588" Properties=species:S:1:pos:R:3 pbc="T T T"
Ac 0.000 0.000 5.296
Ac 0.000 0.000 15.880
Pm 0.000 0.000 0.000
Pr 2.679 0.000 2.542
Pr 2.679 0.000 8.047
Pr 0.000 0.000 10.588
Pr 0.000 2.679 2.542
Pr 0.000 2.679 8.047
```

Computed properties:
Energy of formation, eV/f.u.: 0.17

=====

# AcPm3Pr5

A relaxed AcPm3Pr5 crystal (PBE, the Alexandria database).

The structure in extended XYZ format:
```
18
Lattice="8.441 -3.521 0.000 8.441 3.521 0.000 -3.910 0.000 11.297" Properties=species:S:1:pos:R:3 pbc="T T T"
Ac 5.509 2.271 8.473
Ac 7.464 -2.271 2.824
Pm 2.932 0.746 7.162
Pm 4.887 -0.746 1.514
Pm 8.441 0.000 0.000
Pm 6.486 0.000 5.649
Pm 8.086 0.746 9.783
Pm 10.041 -0.746 4.135
Pr 1.651 0.046 0.525
Pr -0.304 -0.046 6.174
Pr 0.697 0.762 9.773
Pr 7.464 1.518 2.824
Pr 2.652 -0.762 4.125
Pr 10.320 0.762 7.172
Pr 5.509 -1.518 8.473
Pr 12.275 -0.762 1.524
Pr 13.277 0.046 5.124
Pr 11.322 -0.046 10.772
```

Computed properties:
E above lowest polymorph, eV per atom: 0.000
Energy of formation, eV/f.u.: 1.61

=====

# Ac5Pm2Pr12

A relaxed Ac5Pm2Pr12 crystal (PBE, the Alexandria database).

The structure in extended XYZ format:
```
19
Lattice="11.666 -3.725 0.000 11.666 3.725 0.000 -3.215 0.000 8.522" Properties=species:S:1:pos:R:3 pbc="T T T"
Ac 0.000 0.000 0.000
Ac 2.559 0.000 8.398
Ac 6.795 0.000 3.496
Ac 13.320 0.000 5.026
Ac 17.556 0.000 0.124
Pm 10.058 1.808 4.261
Pm 10.058 -1.808 4.261
Pr 4.740 1.840 6.054
Pr 1.513 0.000 4.705
Pr 8.810 1.778 1.044
Pr 11.306 1.778 7.478
Pr 15.375 1.840 2.468
Pr 7.973 0.000 6.884
Pr 12.142 0.000 1.638
Pr 4.740 -1.840 6.054
Pr 8.810 -1.778 1.044
Pr 11.306 -1.778 7.478
Pr 18.603 0.000 3.817
Pr 15.375 -1.840 2.468
```

Computed properties:
Energy of formation, eV/f.u.: 2.53

=====

# AcPm4Pr15

A relaxed AcPm4Pr15 crystal (PBE, the Alexandria database).

The structure in extended XYZ format:
```
20
Lattice="5.260 0.000 0.000 0.000 5.260 0.000 0.000 0.000 26.250" Properties=species:S:1:pos:R:3 pbc="T T T"
Ac 0.000 0.000 0.000
Pm 0.000 0.000 5.314
Pm 0.000 0.000 10.528
Pm 0.000 0.000 15.722
Pm 0.000 0.000 20.936
Pr 0.000 2.630 2.723
Pr 0.000 2.630 7.924
Pr 0.000 2.630 13.125
Pr 0.000 2.630 18.326
Pr 0.000 2.630 23.527
Pr 2.630 0.000 2.723
Pr 2.630 0.000 7.924
Pr 2.630 0.000 13.125
Pr 2.630 0.000 18.326
Pr 2.630 0.000 23.527
Pr 2.630 2.630 0.000
Pr 2.630 2.630 5.335
Pr 2.630 2.630 10.526
Pr 2.630 2.630 15.724
Pr 2.630 2.630 20.915
```

Computed properties:
Energy of formation, eV/f.u.: 0.32